#i
## Pr5Y12Ho2 (PBE-GGA)

Data for an optimized crystal structure of Pr5Y12Ho2.

```
Pr5Y12Ho2
1.0
6.805 0.000 0.000
-1.752 6.934 0.000
-1.396 -3.886 13.599
Pr Y Ho
5 12 2
direct
0.000 0.000 0.000
0.270 0.579 0.520
0.392 0.779 0.903
0.608 0.221 0.097
0.730 0.421 0.480
0.032 0.341 0.685
0.035 0.849 0.704
0.148 0.560 0.097
0.336 0.287 0.887
0.413 0.993 0.276
0.432 0.517 0.293
0.568 0.483 0.707
0.587 0.007 0.724
0.664 0.713 0.113
0.852 0.440 0.903
0.965 0.151 0.296
0.968 0.659 0.315
0.269 0.074 0.514
0.731 0.926 0.486
```

The size of the total moment comes out at 0.000 μB/f.u. The space-group type is P-1.

#ii
## Pr5Y12Ho2 (PBE-GGA)

Data for an optimized crystal structure of Pr5Y12Ho2.

```
Pr5Y12Ho2
1.0
8.958 -4.605 0.000
8.958 4.605 0.000
-3.822 0.000 7.868
Pr Y Ho
5 12 2
direct
0.000 0.000 0.000
0.237 0.237 0.796
0.288 0.288 0.276
0.712 0.712 0.724
0.763 0.763 0.204
0.039 0.671 0.591
0.046 0.046 0.682
0.151 0.596 0.045
0.329 0.961 0.409
0.404 0.849 0.955
0.438 0.438 0.780
0.562 0.562 0.220
0.596 0.151 0.045
0.671 0.039 0.591
0.849 0.404 0.955
0.954 0.954 0.318
0.961 0.329 0.409
0.328 0.672 0.500
0.672 0.328 0.500
```

The size of the total moment comes out at 0.000 μB/f.u. The space-group type is C2/m.

The structure shown above that is most stable: #i.